Be2CuOs | PBE | optimized geometry

abc: 8.035 8.035 8.035
angles: 18.64 18.64 18.64
Positions (direct):
1 Be 0.000 0.000 0.000
2 Be 0.254 0.254 0.254
3 Cu 0.744 0.744 0.744
4 Os 0.507 0.507 0.507

Output
V in A^3/atom: 11.58
Energy of formation from the pure elements in eV/atom: 0.22
Theoretical density in g cm⁻³: 9.7
Fermi-level density of states in states/eV per atom: 0.48

Be2CuOs | PBE | optimized geometry

abc: 4.489 4.489 4.105
angles: 107.40 107.40 33.24
Positions (direct):
1 Be 0.000 0.000 0.000
2 Be 0.727 0.727 0.343
3 Cu 0.473 0.473 0.479
4 Os 0.248 0.248 0.857

Output
V in A^3/atom: 10.77
Energy of formation from the pure elements in eV/atom: -0.04
Theoretical density in g cm⁻³: 10.5
Fermi-level density of states in states/eV per atom: 0.47

Be2CuOs | PBE | optimized geometry

abc: 2.580 2.580 7.323
angles: 90.00 90.00 112.45
Positions (direct):
1 Be 0.000 0.000 0.246
2 Be 0.000 0.000 0.754
3 Cu 0.500 0.500 0.000
4 Os 0.500 0.500 0.500

Output
V in A^3/atom: 11.27
Energy of formation from the pure elements in eV/atom: 0.10
Theoretical density in g cm⁻³: 10.0
Fermi-level density of states in states/eV per atom: 0.55

Be2CuOs | PBE | optimized geometry

abc: 4.632 4.632 4.632
angles: 138.80 138.80 59.69
Positions (direct):
1 Be 0.000 0.000 0.000
2 Be 0.750 0.250 0.500
3 Cu 0.250 0.750 0.500
4 Os 0.500 0.500 0.000

Output
V in A^3/atom: 10.67
Energy of formation from the pure elements in eV/atom: 0.01
Theoretical density in g cm⁻³: 10.6
Fermi-level density of states in states/eV per atom: 0.67

BeCuOs4 | PBE | optimized geometry

abc: 5.092 5.092 5.092
angles: 60.00 60.00 60.00
Positions (direct):
1 Be 0.000 0.000 0.000
2 Cu 0.750 0.750 0.750
3 Os 0.375 0.375 0.375
4 Os 0.375 0.375 0.875
5 Os 0.375 0.875 0.375
6 Os 0.875 0.375 0.375

Output
V in A^3/atom: 15.56
Energy of formation from the pure elements in eV/atom: 0.96
Theoretical density in g cm⁻³: 14.8
Fermi-level density of states in states/eV per atom: 1.19

Be2CuOs | PBE | optimized geometry

abc: 7.644 7.644 7.644
angles: 19.93 19.93 19.93
Positions (direct):
1 Be 0.250 0.250 0.250
2 Be 0.750 0.750 0.750
3 Cu 0.000 0.000 0.000
4 Os 0.500 0.500 0.500

Output
V in A^3/atom: 11.35
Energy of formation from the pure elements in eV/atom: 0.05
Theoretical density in g cm⁻³: 9.9
Fermi-level density of states in states/eV per atom: 0.51

Be2Cu2Os | PBE | optimized geometry

abc: 6.438 6.438 2.574
angles: 90.00 90.00 90.00
Positions (direct):
1 Be 0.140 0.360 0.000
2 Be 0.360 0.860 0.000
3 Be 0.640 0.140 0.000
4 Be 0.860 0.640 0.000
5 Cu 0.153 0.653 0.500
6 Cu 0.347 0.153 0.500
7 Cu 0.653 0.847 0.500
8 Cu 0.847 0.347 0.500
9 Os 0.000 0.000 0.000
10 Os 0.500 0.500 0.000

Output
V in A^3/atom: 10.67
Energy of formation from the pure elements in eV/atom: 0.02
Theoretical density in g cm⁻³: 10.4
Fermi-level density of states in states/eV per atom: 0.26

Be2CuOs | PBE | optimized geometry

abc: 4.066 4.066 4.610
angles: 98.98 98.98 36.51
Positions (direct):
1 Be 0.250 0.250 0.243
2 Be 0.750 0.750 0.757
3 Cu 0.000 0.000 0.500
4 Os 0.500 0.500 0.000

Output
V in A^3/atom: 11.18
Energy of formation from the pure elements in eV/atom: 0.09
Theoretical density in g cm⁻³: 10.1
Fermi-level density of states in states/eV per atom: 0.34